A plane-wave DFT calculation with GGA-PBE was carried out for an optimized crystal structure of Fe2NiTe.

Results
* DOS(E_F): 1.3173 states/eV/atom
* volume: 55.2 Å³/cell
* symmetry: F-43m, No. 216
* formation energy without anion corrections: 0.258 eV per atom
* calculated total energy: -6.20 eV per atom

```
Fe2NiTe
1.0
4.274 0.000 0.000
2.137 3.701 0.000
2.137 1.234 3.490
Fe Ni Te
2 1 1
direct
0.000 0.000 0.000
0.250 0.250 0.250
0.500 0.500 0.500
0.750 0.750 0.750
```